a:
An optimized crystal structure of Sr2PbI6. Source: the Alexandria database, functional PBE.

The space group is C2/m (No. 12) and the conventional cell measures 20.568, 4.773 and 9.413 Å, with angles of 90.00, 101.83 and 90.00 degrees. The inequivalent atoms are Sr at (0.166, 0.000, 0.331), Pb at (0.000, 0.500, 0.000), I at (0.001, 0.000, 0.240), I at (0.162, 0.500, 0.086) and I at (0.169, 0.500, 0.576).

The value obtained for the spin magnetization is 0.0 μB per formula unit.

b:
An optimized crystal structure of Sr2PbI6. Source: the Alexandria database, functional PBE.

The space group is P4_2/mnm (No. 136) and the conventional cell measures 7.724, 7.724 and 14.863 Å, with angles of 90.00, 90.00 and 90.00 degrees. The inequivalent atoms are Sr at (0.000, 0.000, 0.167), Pb at (0.000, 0.000, 0.500), I at (0.197, 0.197, 0.335) and I at (0.200, 0.200, 0.000).

The value obtained for the spin magnetization is 0.0 μB per formula unit.

Short version: a, b, most stable first.

a:
An optimized crystal structure of SrTe2PbI. Source: the Alexandria database, functional PBE.

The space group is P4/mmm (No. 123) and the conventional cell measures 6.160, 6.160 and 6.110 Å, with angles of 90.00, 90.00 and 90.00 degrees. The inequivalent atoms are Sr at (0.000, 0.000, 0.000), Te at (0.000, 0.500, 0.000), Pb at (0.500, 0.500, 0.500) and I at (0.000, 0.000, 0.500).

The value obtained for the spin magnetization is 0.0 μB per formula unit.

b:
An optimized crystal structure of SrTe2PbI. Source: the Alexandria database, functional PBE.

The space group is P4/mmm (No. 123) and the conventional cell measures 5.959, 5.959 and 5.981 Å, with angles of 90.00, 90.00 and 90.00 degrees. The inequivalent atoms are Sr at (0.000, 0.000, 0.000), Te at (0.000, 0.500, 0.500), Pb at (0.500, 0.500, 0.500) and I at (0.500, 0.500, 0.000).

The value obtained for the spin magnetization is 0.0 μB per formula unit.

Short version: b, a, most stable first.

a:
An optimized crystal structure of TaPb3I. Source: the Alexandria database, functional PBE.

The space group is Pm-3m (No. 221) and the conventional cell measures 5.880, 5.880 and 5.880 Å, with angles of 90.00, 90.00 and 90.00 degrees. The inequivalent atoms are Ta at (0.000, 0.000, 0.000), Pb at (0.000, 0.500, 0.500) and I at (0.500, 0.500, 0.500).

The value obtained for the spin magnetization is 3.7 μB per formula unit.

b:
An optimized crystal structure of TaPb3I. Source: the Alexandria database, functional PBE.

The space group is Pm-3m (No. 221) and the conventional cell measures 5.588, 5.588 and 5.588 Å, with angles of 90.00, 90.00 and 90.00 degrees. The inequivalent atoms are Ta at (0.000, 0.000, 0.000), Pb at (0.000, 0.000, 0.500) and I at (0.500, 0.500, 0.500).

The value obtained for the spin magnetization is 0.0 μB per formula unit.

Short version: b, a, most stable first.

a:
An optimized crystal structure of TcPb2I. Source: the Alexandria database, functional PBE.

The space group is I-42d (No. 122) and the conventional cell measures 6.783, 6.783 and 13.802 Å, with angles of 90.00, 90.00 and 90.00 degrees. The inequivalent atoms are Tc at (0.000, 0.000, 0.000), Pb at (0.150, 0.250, 0.125) and I at (0.000, 0.000, 0.500).

The value obtained for the spin magnetization is 0.0 μB per formula unit.

b:
An optimized crystal structure of TcPb2I. Source: the Alexandria database, functional PBE.

The space group is Fm-3m (No. 225) and the conventional cell measures 7.665, 7.665 and 7.665 Å, with angles of 90.00, 90.00 and 90.00 degrees. The inequivalent atoms are Tc at (0.000, 0.000, 0.000), Pb at (0.250, 0.250, 0.250) and I at (0.000, 0.000, 0.500).

The value obtained for the spin magnetization is 2.6 μB per formula unit.

Short version: a, b, most stable first.

a:
An optimized crystal structure of TePbI2. Source: the Alexandria database, functional PBE.

The space group is I-42d (No. 122) and the conventional cell measures 9.067, 9.067 and 7.470 Å, with angles of 90.00, 90.00 and 90.00 degrees. The inequivalent atoms are Te at (0.000, 0.000, 0.000), Pb at (0.000, 0.000, 0.500) and I at (0.230, 0.250, 0.625).

The value obtained for the spin magnetization is 0.0 μB per formula unit.

b:
An optimized crystal structure of TePbI2. Source: the Alexandria database, functional PBE.

The space group is Fm-3m (No. 225) and the conventional cell measures 8.139, 8.139 and 8.139 Å, with angles of 90.00, 90.00 and 90.00 degrees. The inequivalent atoms are Te at (0.000, 0.000, 0.000), Pb at (0.000, 0.000, 0.500) and I at (0.250, 0.250, 0.250).

The value obtained for the spin magnetization is 0.0 μB per formula unit.

Short version: a, b, most stable first.

a:
An optimized crystal structure of Te3PbI. Source: the Alexandria database, functional PBE.

The space group is Pm-3m (No. 221) and the conventional cell measures 5.842, 5.842 and 5.842 Å, with angles of 90.00, 90.00 and 90.00 degrees. The inequivalent atoms are Te at (0.000, 0.000, 0.500), Pb at (0.500, 0.500, 0.500) and I at (0.000, 0.000, 0.000).

The value obtained for the spin magnetization is 0.0 μB per formula unit.

b:
An optimized crystal structure of Te3PbI. Source: the Alexandria database, functional PBE.

The space group is Pm-3m (No. 221) and the conventional cell measures 5.899, 5.899 and 5.899 Å, with angles of 90.00, 90.00 and 90.00 degrees. The inequivalent atoms are Te at (0.000, 0.000, 0.500), Pb at (0.000, 0.000, 0.000) and I at (0.500, 0.500, 0.500).

The value obtained for the spin magnetization is 0.0 μB per formula unit.

Short version: a, b, most stable first.

a:
An optimized crystal structure of TePb2I. Source: the Alexandria database, functional PBE.

The space group is C2/c (No. 15) and the conventional cell measures 10.356, 17.193 and 7.629 Å, with angles of 90.00, 119.81 and 90.00 degrees. The inequivalent atoms are Te at (0.000, 0.061, 0.250), Te at (0.000, 0.314, 0.250), Pb at (0.238, 0.188, 0.284), Pb at (0.241, 0.065, 0.724), I at (0.000, 0.187, 0.750) and I at (0.000, 0.440, 0.750).

The value obtained for the spin magnetization is 0.0 μB per formula unit.

b:
An optimized crystal structure of TePb2I. Source: the Alexandria database, functional PBE.

The space group is R3m (No. 160, hexagonal axes) and the conventional cell measures 4.2940, 4.2940 and 27.3777 Å, with angles of 90.00, 90.00 and 120.00 degrees. The inequivalent atoms are Te at (0.0000, 0.0000, 0.0000), Pb at (0.0000, 0.0000, 0.4109), Pb at (0.0000, 0.0000, 0.5921) and I at (0.0000, 0.0000, 0.1694).

The value obtained for the spin magnetization is 0.0 μB per formula unit.

Short version: a, b, most stable first.

a:
An optimized crystal structure of TePb2I. Source: the Alexandria database, functional PBE.

The space group is P4/mmm (No. 123) and the conventional cell measures 4.012, 4.012 and 8.198 Å, with angles of 90.00, 90.00 and 90.00 degrees. The inequivalent atoms are Te at (0.000, 0.000, 0.000), Pb at (0.500, 0.500, 0.221) and I at (0.000, 0.000, 0.500).

The value obtained for the spin magnetization is 0.0 μB per formula unit.

b:
An optimized crystal structure of TePb2I. Source: the Alexandria database, functional PBE.

The space group is R-3m (No. 166, hexagonal axes) and the conventional cell measures 4.3049, 4.3049 and 27.1997 Å, with angles of 90.00, 90.00 and 120.00 degrees. The inequivalent atoms are Te at (0.0000, 0.0000, 0.0000), Pb at (0.0000, 0.0000, 0.2568) and I at (0.0000, 0.0000, 0.5000).

The value obtained for the spin magnetization is 0.0 μB per formula unit.

Short version: b, a, most stable first.

a:
An optimized crystal structure of Te2PbI. Source: the Alexandria database, functional PBE.

The space group is R-3m (No. 166, hexagonal axes) and the conventional cell measures 4.6719, 4.6719 and 27.8447 Å, with angles of 90.00, 90.00 and 120.00 degrees. The inequivalent atoms are Te at (0.0000, 0.0000, 0.1054), Pb at (0.0000, 0.0000, 0.5000) and I at (0.0000, 0.0000, 0.0000).

The value obtained for the spin magnetization is 0.0 μB per formula unit.

b:
An optimized crystal structure of Te2PbI. Source: the Alexandria database, functional PBE.

The space group is R-3m (No. 166, hexagonal axes) and the conventional cell measures 3.3346, 3.3346 and 44.6919 Å, with angles of 90.00, 90.00 and 120.00 degrees. The inequivalent atoms are Te at (0.0000, 0.0000, 0.0728), Pb at (0.0000, 0.0000, 0.0000) and I at (0.0000, 0.0000, 0.5000).

The value obtained for the spin magnetization is 0.0 μB per formula unit.

c:
An optimized crystal structure of Te2PbI. Source: the Alexandria database, functional PBE.

The space group is Fm-3m (No. 225) and the conventional cell measures 7.960, 7.960 and 7.960 Å, with angles of 90.00, 90.00 and 90.00 degrees. The inequivalent atoms are Te at (0.250, 0.250, 0.250), Pb at (0.000, 0.000, 0.000) and I at (0.000, 0.000, 0.500).

The value obtained for the spin magnetization is 0.0 μB per formula unit.

d:
An optimized crystal structure of Te2PbI. Source: the Alexandria database, functional PBE.

The space group is I-42d (No. 122) and the conventional cell measures 8.359, 8.359 and 9.210 Å, with angles of 90.00, 90.00 and 90.00 degrees. The inequivalent atoms are Te at (0.222, 0.250, 0.125), Pb at (0.000, 0.000, 0.000) and I at (0.000, 0.000, 0.500).

The value obtained for the spin magnetization is 0.0 μB per formula unit.

Short version: a, d, b, c, most stable first.

a:
An optimized crystal structure of YTePbI2. Source: the Alexandria database, functional PBE.

The space group is P4/mmm (No. 123) and the conventional cell measures 5.852, 5.852 and 6.938 Å, with angles of 90.00, 90.00 and 90.00 degrees. The inequivalent atoms are Y at (0.000, 0.000, 0.000), Te at (0.000, 0.000, 0.500), Pb at (0.500, 0.500, 0.500) and I at (0.000, 0.500, 0.000).

The value obtained for the spin magnetization is 1.0 μB per formula unit.

b:
An optimized crystal structure of YTePbI2. Source: the Alexandria database, functional PBE.

The space group is P4/mmm (No. 123) and the conventional cell measures 5.979, 5.979 and 6.214 Å, with angles of 90.00, 90.00 and 90.00 degrees. The inequivalent atoms are Y at (0.000, 0.000, 0.000), Te at (0.500, 0.500, 0.000), Pb at (0.500, 0.500, 0.500) and I at (0.000, 0.500, 0.500).

The value obtained for the spin magnetization is 0.9 μB per formula unit.

Short version: a, b, most stable first.

a:
An optimized crystal structure of ThPbI6. Source: the Alexandria database, functional PBE.

The space group is Amm2 (No. 38) and the conventional cell measures 10.070, 4.451 and 15.497 Å, with angles of 90.00, 90.00 and 90.00 degrees. The inequivalent atoms are Th at (0.000, 0.000, 0.000), Pb at (0.500, 0.000, 0.469), I at (0.000, 0.000, 0.645), I at (0.175, 0.000, 0.394), I at (0.297, 0.000, 0.081) and I at (0.500, 0.000, 0.824).

The value obtained for the spin magnetization is 0.0 μB per formula unit.

b:
An optimized crystal structure of ThPbI6. Source: the Alexandria database, functional PBE.

The space group is P-31c (No. 163) and the conventional cell measures 7.8233, 7.8233 and 14.3353 Å, with angles of 90.00, 90.00 and 120.00 degrees. The inequivalent atoms are Th at (0.3333, 0.6667, 0.2500), Pb at (0.0000, 0.0000, 0.0000) and I at (0.0044, 0.3480, 0.3724).

The value obtained for the spin magnetization is 0.0 μB per formula unit.

Short version: b, a, most stable first.

a:
An optimized crystal structure of Tl2PbI2. Source: the Alexandria database, functional PBE.

The space group is P4/mbm (No. 127) and the conventional cell measures 9.394, 9.394 and 4.401 Å, with angles of 90.00, 90.00 and 90.00 degrees. The inequivalent atoms are Tl at (0.153, 0.347, 0.000), Pb at (0.000, 0.000, 0.500) and I at (0.154, 0.654, 0.500).

The value obtained for the spin magnetization is 0.0 μB per formula unit.

b:
An optimized crystal structure of Tl2PbI2. Source: the Alexandria database, functional PBE.

The space group is P4/mbm (No. 127) and the conventional cell measures 8.605, 8.605 and 5.117 Å, with angles of 90.00, 90.00 and 90.00 degrees. The inequivalent atoms are Tl at (0.146, 0.354, 0.000), Pb at (0.000, 0.000, 0.000) and I at (0.174, 0.674, 0.500).

The value obtained for the spin magnetization is 0.0 μB per formula unit.

Short version: a, b, most stable first.